(1)
## UCoOs2 (PBE-GGA)

Data for an optimized crystal structure of UCoOs2.

abc: 4.701 4.701 4.701
angles: 56.72 56.72 56.72
Sites, in units of the cell vectors:
U 0.000 0.000 0.000
Co 0.500 0.500 0.500
Os 0.209 0.209 0.209
Os 0.791 0.791 0.791

Summary:
The volume comes out at 67.92 Å³/f.u. Its symmetry is No. 166. The formation energy is 0.23 eV per atom. As for the excess energy over the best structure of this formula in the dataset: 407 meV per atom. The calculation puts the calculated total energy at -0.734 Ry/atom. The value obtained for the density of states at the Fermi level is 1.599 states/eV/atom.



(2)
## SrBePt2Au (PBE-GGA)

Data for an optimized crystal structure of SrBePt2Au.

abc: 4.449 4.449 4.685
angles: 90.00 90.00 90.00
Sites, in units of the cell vectors:
Sr 0.000 0.000 0.000
Be 0.500 0.500 0.500
Pt 0.000 0.500 0.500
Pt 0.500 0.000 0.500
Au 0.500 0.500 0.000

Summary:
The volume comes out at 92.70 Å³/f.u. Its symmetry is No. 123. The formation energy is -0.52 eV per atom. As for the excess energy over the best structure of this formula in the dataset: 0 meV per atom. The calculation puts the calculated total energy at -0.343 Ry/atom. The value obtained for the density of states at the Fermi level is 0.292 states/eV/atom.